Below is crystalline Lu2NiBi at its relaxed geometry, with properties calculated at the PBE level.

abc: 7.1898 7.1898 7.1898
angles: 90.00 90.00 90.00
Fractional positions:
Lu (0.0000, 0.0000, 0.0000)
Lu (0.0000, 0.5000, 0.5000)
Lu (0.2500, 0.2500, 0.2500)
Lu (0.2500, 0.7500, 0.7500)
Lu (0.5000, 0.0000, 0.5000)
Lu (0.5000, 0.5000, 0.0000)
Lu (0.7500, 0.2500, 0.7500)
Lu (0.7500, 0.7500, 0.2500)
Ni (0.2500, 0.2500, 0.7500)
Ni (0.2500, 0.7500, 0.2500)
Ni (0.7500, 0.2500, 0.2500)
Ni (0.7500, 0.7500, 0.7500)
Bi (0.0000, 0.0000, 0.5000)
Bi (0.0000, 0.5000, 0.0000)
Bi (0.5000, 0.0000, 0.0000)
Bi (0.5000, 0.5000, 0.5000)

Total moment, Bohr magnetons per cell: 0.03
Space group: F-43m, No. 216
Energy, eV for the cell shown: -73.249
Calculated volume, Å³ per cell: 371.7

***

Below is crystalline Sn3Pt at its relaxed geometry, with properties calculated at the PBE level.

abc: 6.3823 6.3834 8.5995
angles: 89.90 89.96 60.03
Fractional positions:
Sn (0.0000, 0.0000, 0.0000)
Sn (0.0082, 0.6455, 0.6911)
Sn (0.2427, 0.3404, 0.0008)
Sn (0.3044, 0.9297, 0.6907)
Sn (0.3559, 0.2801, 0.3818)
Sn (0.5887, 0.3491, 0.6911)
Sn (0.6069, 0.6967, 0.3810)
Sn (0.6605, 0.5816, 0.0006)
Sn (0.9403, 0.9482, 0.3816)
Pt (0.3005, 0.6415, 0.1930)
Pt (0.6337, 0.9741, 0.8663)
Pt (0.9670, 0.3089, 0.5223)

Total moment, Bohr magnetons per cell: 0.00
Distance to the lowest polymorph of the same formula, meV/atom: 10
Space group: P1, No. 1
Energy, eV for the cell shown: -56.847
Calculated volume, Å³ per cell: 303.5

***

Below is crystalline Hf2BPb at its relaxed geometry, with properties calculated at the PBE level.

abc: 3.4676 3.4676 14.8910
angles: 90.00 90.00 120.00
Fractional positions:
Hf (0.3333, 0.6667, 0.0831)
Hf (0.3333, 0.6667, 0.4169)
Hf (0.6667, 0.3333, 0.5831)
Hf (0.6667, 0.3333, 0.9169)
B (0.0000, 0.0000, 0.0000)
B (0.0000, 0.0000, 0.5000)
Pb (0.3333, 0.6667, 0.7500)
Pb (0.6667, 0.3333, 0.2500)

Total moment, Bohr magnetons per cell: 0.00
Space group: P6_3/mmc, No. 194
Energy, eV for the cell shown: -64.457
Calculated volume, Å³ per cell: 155.1

***

Below is crystalline ZrTlPdS3 at its relaxed geometry, with properties calculated at the PBE level.

abc: 14.5000 3.7532 10.2722
angles: 90.00 90.00 90.00
Fractional positions:
Zr (0.0165, 0.2500, 0.1705)
Zr (0.4835, 0.7500, 0.6705)
Zr (0.5165, 0.2500, 0.3295)
Zr (0.9835, 0.7500, 0.8295)
Tl (0.2370, 0.2500, 0.4568)
Tl (0.2630, 0.7500, 0.9568)
Tl (0.7370, 0.2500, 0.0432)
Tl (0.7630, 0.7500, 0.5432)
Pd (0.0010, 0.2500, 0.5993)
Pd (0.4990, 0.7500, 0.0993)
Pd (0.5010, 0.2500, 0.9007)
Pd (0.9990, 0.7500, 0.4007)
S (0.0887, 0.2500, 0.9344)
S (0.0962, 0.7500, 0.6367)
S (0.1290, 0.7500, 0.2372)
S (0.3710, 0.2500, 0.7372)
S (0.4038, 0.2500, 0.1367)
S (0.4113, 0.7500, 0.4344)
S (0.5887, 0.2500, 0.5656)
S (0.5962, 0.7500, 0.8633)
S (0.6290, 0.7500, 0.2628)
S (0.8710, 0.2500, 0.7628)
S (0.9038, 0.2500, 0.3633)
S (0.9113, 0.7500, 0.0656)

Total moment, Bohr magnetons per cell: 0.04
Space group: Pnma, No. 62
Energy, eV for the cell shown: -136.083
Calculated volume, Å³ per cell: 559.0

***

Below is crystalline Ho2ErIn3CuGe2 at its relaxed geometry, with properties calculated at the PBE level.

abc: 4.2112 7.3653 7.3653
angles: 119.97 90.00 90.00
Fractional positions:
Ho (0.0000, 0.2013, 0.7987)
Ho (0.0000, 0.7987, 0.2013)
Er (0.0000, 0.6041, 0.6041)
In (0.5000, 0.2015, 0.4452)
In (0.5000, 0.4452, 0.2015)
In (0.5000, 0.9580, 0.9580)
Cu (0.0000, 0.2025, 0.2025)
Ge (0.5000, 0.5349, 0.8674)
Ge (0.5000, 0.8674, 0.5349)

Total moment, Bohr magnetons per cell: 0.02
Space group: Amm2, No. 38
Energy, eV for the cell shown: -39.675
Calculated volume, Å³ per cell: 197.9

***

Below is crystalline BaHoPt at its relaxed geometry, with properties calculated at the PBE level.

abc: 7.0674 7.0674 7.0674
angles: 90.00 90.00 90.00
Fractional positions:
Ba (0.0000, 0.0000, 0.0000)
Ba (0.0000, 0.5000, 0.5000)
Ba (0.5000, 0.0000, 0.5000)
Ba (0.5000, 0.5000, 0.0000)
Ho (0.2500, 0.2500, 0.7500)
Ho (0.2500, 0.7500, 0.2500)
Ho (0.7500, 0.2500, 0.2500)
Ho (0.7500, 0.7500, 0.7500)
Pt (0.2500, 0.2500, 0.2500)
Pt (0.2500, 0.7500, 0.7500)
Pt (0.7500, 0.2500, 0.7500)
Pt (0.7500, 0.7500, 0.2500)

Total moment, Bohr magnetons per cell: 0.00
Distance to the lowest polymorph of the same formula, meV/atom: 841
Space group: F-43m, No. 216
Energy, eV for the cell shown: -45.636
Calculated volume, Å³ per cell: 353.0

***

Below is crystalline NaTbHgSe3 at its relaxed geometry, with properties calculated at the PBE level.

abc: 9.3819 9.3819 8.9127
angles: 104.26 104.26 25.39
Fractional positions:
Na (0.1283, 0.1283, 0.0842)
Na (0.8717, 0.8717, 0.9158)
Tb (0.1774, 0.1774, 0.5963)
Tb (0.8226, 0.8226, 0.4037)
Hg (0.4701, 0.4701, 0.2740)
Hg (0.5299, 0.5299, 0.7260)
Se (0.0000, 0.0000, 0.5000)
Se (0.3179, 0.3179, 0.1740)
Se (0.3346, 0.3346, 0.6338)
Se (0.5000, 0.5000, 0.0000)
Se (0.6654, 0.6654, 0.3662)
Se (0.6821, 0.6821, 0.8260)

Total moment, Bohr magnetons per cell: 0.00
Distance to the lowest polymorph of the same formula, meV/atom: 38
Space group: C2/m, No. 12
Energy, eV for the cell shown: -46.247
Calculated volume, Å³ per cell: 325.5

***

Below is crystalline LiPaTlS3 at its relaxed geometry, with properties calculated at the PBE level.

abc: 7.1854 7.1854 10.6176
angles: 90.00 90.00 147.13
Fractional positions:
Li (0.0471, 0.9529, 0.7500)
Li (0.9529, 0.0471, 0.2500)
Pa (0.5000, 0.5000, 0.0000)
Pa (0.5000, 0.5000, 0.5000)
Tl (0.2336, 0.7664, 0.2500)
Tl (0.7664, 0.2336, 0.7500)
S (0.1257, 0.8743, 0.5477)
S (0.1257, 0.8743, 0.9523)
S (0.4498, 0.5502, 0.7500)
S (0.5502, 0.4498, 0.2500)
S (0.8743, 0.1257, 0.0477)
S (0.8743, 0.1257, 0.4523)

Total moment, Bohr magnetons per cell: 2.00
Space group: Cmcm, No. 63
Energy, eV for the cell shown: -67.188
Calculated volume, Å³ per cell: 297.5